This record from Alexandria describes an optimized crystal structure of Sm3GeCCl. The functional is PBE.

abc: 3.776 7.263 11.039
angles: 109.19 90.00 90.00
Atoms (fractional coordinates):
Sm  0.750  0.280  0.493
Sm  0.750  0.957  0.132
Sm  0.750  0.493  0.136
Sm  0.250  0.043  0.868
Sm  0.250  0.507  0.864
Sm  0.250  0.720  0.507
C  0.250  0.728  0.080
C  0.750  0.272  0.920
Ge  0.750  0.679  0.704
Ge  0.250  0.321  0.296
Cl  0.750  0.862  0.366
Cl  0.250  0.138  0.634

The value obtained for the total energy is -68.901 eV for the cell shown. The calculation puts the volume at 143.0 Å³/f.u. Its space group is P2_1/m (11). Its crystal system is monoclinic. For the mass density, the calculation gives 6.63 g/cm³. The calculation puts the energy relative to the elements, uncorrected at -0.77 eV/atom.